1.
In12Te3Au5: optimized geometry, PBE-GGA.

Values from the calculation:
Crystal system: cubic
Formation energy without anion corrections (meV per atom): -67
M_tot (μB/atom): 0.000
Symmetry: No. 230

a b c (Å): 14.951 14.951 14.951
angles (deg): 109.47 109.47 109.47
Atoms (fractional coordinates):
Te 0.750 0.375 0.125
Te 0.875 0.750 0.125
Te 0.375 0.750 0.625
Te 0.250 0.125 0.375
Te 0.875 0.125 0.250
Te 0.375 0.625 0.250
Te 0.625 0.375 0.750
Te 0.125 0.875 0.750
Te 0.750 0.875 0.625
Te 0.625 0.250 0.375
Te 0.125 0.250 0.875
Te 0.250 0.625 0.875
Au 0.125 0.375 0.250
Au 0.000 0.500 0.000
Au 0.000 0.000 0.000
Au 0.375 0.250 0.125
Au 0.500 0.000 0.500
Au 0.500 0.500 0.000
Au 0.125 0.750 0.375
Au 0.750 0.125 0.875
Au 0.750 0.625 0.375
Au 0.375 0.125 0.750
Au 0.625 0.875 0.250
Au 0.500 0.500 0.500
Au 0.500 0.000 0.000
Au 0.000 0.000 0.500
Au 0.250 0.375 0.625
Au 0.250 0.875 0.125
Au 0.000 0.500 0.500
Au 0.875 0.250 0.625
Au 0.625 0.750 0.875
Au 0.875 0.625 0.750
In 0.711 0.121 0.039
In 0.328 0.539 0.417
In 0.961 0.379 0.289
In 0.539 0.211 0.121
In 0.589 0.711 0.672
In 0.961 0.583 0.172
In 0.328 0.789 0.411
In 0.083 0.911 0.121
In 0.583 0.961 0.672
In 0.711 0.589 0.172
In 0.789 0.461 0.379
In 0.828 0.917 0.039
In 0.121 0.711 0.539
In 0.379 0.417 0.089
In 0.089 0.917 0.379
In 0.411 0.121 0.583
In 0.089 0.172 0.211
In 0.461 0.672 0.083
In 0.828 0.911 0.289
In 0.121 0.411 0.083
In 0.379 0.961 0.789
In 0.583 0.621 0.411
In 0.917 0.828 0.539
In 0.789 0.328 0.911
In 0.417 0.379 0.589
In 0.083 0.172 0.461
In 0.211 0.672 0.089
In 0.172 0.089 0.711
In 0.621 0.039 0.211
In 0.879 0.589 0.917
In 0.539 0.328 0.917
In 0.589 0.879 0.417
In 0.911 0.828 0.789
In 0.911 0.083 0.621
In 0.879 0.289 0.461
In 0.172 0.083 0.961
In 0.621 0.583 0.911
In 0.417 0.039 0.328
In 0.289 0.411 0.828
In 0.211 0.539 0.621
In 0.917 0.089 0.879
In 0.672 0.211 0.589
In 0.461 0.789 0.879
In 0.039 0.417 0.828
In 0.411 0.289 0.328
In 0.039 0.621 0.711
In 0.672 0.461 0.583
In 0.289 0.879 0.961

2.
InTe2Au: optimized geometry, PBE-GGA.

Values from the calculation:
Crystal system: monoclinic
Formation energy without anion corrections (meV per atom): -69
M_tot (μB/atom): 0.000
Symmetry: No. 14

a b c (Å): 20.892 4.347 10.211
angles (deg): 90.00 150.00 90.00
Atoms (fractional coordinates):
Te 0.934 0.860 0.691
Te 0.066 0.140 0.309
Te 0.566 0.360 0.809
Te 0.434 0.640 0.191
Te 0.135 0.921 0.717
Te 0.865 0.079 0.283
Te 0.365 0.421 0.783
Te 0.635 0.579 0.217
Au 0.252 0.402 0.058
Au 0.748 0.598 0.942
Au 0.248 0.902 0.442
Au 0.752 0.098 0.558
In 0.631 0.127 0.589
In 0.369 0.873 0.411
In 0.869 0.627 0.911
In 0.131 0.373 0.089

3.
InTeAu2: optimized geometry, PBE-GGA.

Values from the calculation:
Crystal system: cubic
Formation energy without anion corrections (meV per atom): 172
M_tot (μB/atom): 0.000
Symmetry: No. 216

a b c (Å): 5.071 5.071 5.071
angles (deg): 60.00 60.00 60.00
Atoms (fractional coordinates):
Au 0.000 0.000 0.000
Au 0.750 0.750 0.750
In 0.500 0.500 0.500
Te 0.250 0.250 0.250

4.
InTeAu4: optimized geometry, PBE-GGA.

Values from the calculation:
Crystal system: cubic
Formation energy without anion corrections (meV per atom): 11
M_tot (μB/atom): 0.000
Symmetry: No. 216

a b c (Å): 5.674 5.674 5.674
angles (deg): 60.00 60.00 60.00
Atoms (fractional coordinates):
In 0.750 0.750 0.750
Te 0.000 0.000 0.000
Au 0.874 0.375 0.375
Au 0.375 0.375 0.874
Au 0.375 0.874 0.375
Au 0.375 0.375 0.375